The following is a DFT calculation (GGA-PBE) of a relaxed structure of ZrTcW.

Structure (POSCAR):
```
ZrTcW
1.0
-5.350 1.129 -0.901
-2.976 0.236 -4.668
3.662 -2.888 2.992
W Zr Tc
1 1 1
direct
0.346 0.346 0.000
0.664 0.664 0.000
0.991 0.991 0.000
```

Properties
Excess energy over the best structure of this formula in the dataset, meV/atom: 93.6
N(E_F), states/eV/cell: 2.17

=====

The following is a DFT calculation (GGA-PBE) of a relaxed structure of AcIn8Rh2.

Structure (POSCAR):
```
AcIn8Rh2
1.0
-1.388 1.862 -5.927
1.489 -5.796 -2.169
-8.024 -2.473 1.102
In Rh Ac
8 2 1
direct
0.755 0.755 0.810
0.755 0.245 0.190
0.755 0.755 0.190
0.755 0.245 0.810
0.245 0.755 0.190
0.245 0.755 0.810
0.245 0.245 0.810
0.245 0.245 0.190
0.000 0.500 0.000
0.500 0.000 0.000
0.500 0.500 0.500
```

Properties
Total energy, eV per atom: -3.7404
N(E_F), states/eV/cell: 6.68

=====

The following is a DFT calculation (GGA-PBE) of a relaxed structure of Zr2TcMo.

Structure (POSCAR):
```
Zr2TcMo
1.0
-0.263 -4.720 -2.470
3.337 3.393 -2.410
2.680 -1.194 0.640
Tc Zr Mo
1 2 1
direct
0.000 0.500 0.500
0.000 0.000 0.000
0.500 0.500 0.000
0.500 0.000 0.500
```

Properties
Total energy, eV per atom: -9.5866
N(E_F), states/eV/cell: 3.49

=====

The following is a DFT calculation (GGA-PBE) of a relaxed structure of ScCd2P.

Structure (POSCAR):
```
ScCd2P
1.0
-4.081 0.699 2.562
-4.302 -1.309 -1.868
-2.397 -3.814 1.849
Cd P Sc
2 1 1
direct
0.000 0.000 0.000
0.750 0.750 0.750
0.500 0.500 0.500
0.250 0.250 0.250
```

Properties
Total energy, eV per atom: -3.4641
N(E_F), states/eV/cell: 4.83

=====

> Among the records above, which one has the lowest N(E_F)?

ZrTcW